# Ho4InPb2

A geometry-optimized Ho4InPb2 structure (PBE, Alexandria via LeMat-Bulk).

Geometry as extended XYZ:
```
14
Lattice="-3.038 -1.404 -4.641 5.477 0.074 -3.608 3.386 -9.466 4.946" Properties=species:S:1:pos:R:3 pbc="T T T"
Ho 1.914 -3.321 -3.223
Ho 7.030 -8.215 1.560
Ho -1.205 -2.581 -4.863
Ho 4.562 -3.285 -4.968
Ho 0.763 -6.383 -1.954
Ho 1.263 -7.511 1.665
Ho 3.912 -7.475 -0.080
Ho 5.062 -4.414 -1.349
In 4.465 -1.660 -2.200
In 1.361 -9.137 -1.103
Pb 5.732 -10.192 -0.451
Pb 0.093 -0.605 -2.852
Pb 2.124 -4.398 0.152
Pb 3.702 -6.398 -3.455
```

As for the formation energy from the elements: -7.2 kcal/mol of atoms. For the density of states at the Fermi level, the calculation gives 0.859 states/eV/atom.